{
  "formula": "Na3RhPb",
  "functional": "GGA-PBE",
  "state": "optimized geometry",
  "lattice_angstrom": [[5.2888, 0.0000, 0.0000], [0.0000, 5.2888, 0.0000], [0.0000, 0.0000, 5.2888]],
  "species": ["Pb", "Na", "Na", "Na", "Rh"],
  "fractional_positions": [[0.5000, 0.5000, 0.5000], [0.0000, 0.5000, 0.0000], [0.0000, 0.0000, 0.5000], [0.5000, 0.0000, 0.0000], [0.0000, 0.0000, 0.0000]],
  "spacegroup": "Pm-3m",
  "e_above_lowest_polymorph_mev_per_atom": 0,
  "crystal_system": "cubic",
  "formation_enthalpy_0k_ev_per_atom": 0.522,
  "total_energy_ev_per_atom": -2.48
}

=====

{
  "formula": "NdTc2O8",
  "functional": "GGA-PBE",
  "state": "optimized geometry",
  "lattice_angstrom": [[5.7920, 0.1228, 0.4500], [0.5075, 6.2825, 0.3412], [0.1787, -0.0768, 6.3092]],
  "species": ["Nd", "Tc", "Tc", "O", "O", "O", "O", "O", "O", "O", "O"],
  "fractional_positions": [[0.0000, 0.0000, 0.0000], [0.3583, 0.2385, 0.2385], [0.6417, 0.7615, 0.7615], [0.7804, 0.6951, 0.9992], [0.7804, 0.9992, 0.6951], [0.2196, 0.3049, 0.0008], [0.7207, 0.5733, 0.5733], [0.2196, 0.0008, 0.3049], [0.6642, 0.1779, 0.1779], [0.3358, 0.8221, 0.8221], [0.2793, 0.4267, 0.4267]],
  "spacegroup": "C2/m",
  "e_above_lowest_polymorph_mev_per_atom": 145,
  "crystal_system": "monoclinic",
  "e_form_raw_mev_per_atom": -1737,
  "total_energy_ev_per_atom": -7.66
}

=====

{
  "formula": "TlReC3",
  "functional": "GGA-PBE",
  "state": "optimized geometry",
  "lattice_angstrom": [[4.1900, 0.0000, 0.0000], [0.0000, 4.1900, 0.0000], [0.0000, 0.0000, 4.1900]],
  "species": ["Re", "Tl", "C", "C", "C"],
  "fractional_positions": [[0.5000, 0.5000, 0.5000], [0.0000, 0.0000, 0.0000], [0.0000, 0.5000, 0.0000], [0.0000, 0.0000, 0.5000], [0.5000, 0.0000, 0.0000]],
  "spacegroup": "Pm-3m",
  "e_above_lowest_polymorph_mev_per_atom": 2445,
  "crystal_system": "cubic",
  "formation_enthalpy_0k_ev_per_atom": 4.145,
  "total_energy_ev_per_atom": -4.35
}

=====

{
  "formula": "BeSiOs2",
  "functional": "GGA-PBE",
  "state": "optimized geometry",
  "lattice_angstrom": [[-4.6840, -0.0678, 0.4341], [-1.6859, -3.1576, 3.0529], [3.3314, 3.3202, 0.1035]],
  "species": ["Be", "Si", "Os", "Os"],
  "fractional_positions": [[0.7500, 0.2500, 0.5000], [0.5000, 0.5000, 0.0000], [0.0000, 0.0000, 0.0000], [0.2500, 0.7500, 0.5000]],
  "spacegroup": "I-4m2",
  "crystal_system": "tetragonal",
  "e_form_raw_mev_per_atom": 58,
  "total_energy_ev_per_atom": -7.84
}

=====

{
  "formula": "LiNi6Sn6",
  "functional": "GGA-PBE",
  "state": "optimized geometry",
  "lattice_angstrom": [[-2.2095, -1.7987, -4.5519], [4.0079, -2.7336, 2.3024], [-5.6849, -4.5098, 4.5416]],
  "species": ["Li", "Ni", "Ni", "Ni", "Ni", "Ni", "Ni", "Sn", "Sn", "Sn", "Sn", "Sn", "Sn"],
  "fractional_positions": [[0.0000, 0.0000, 0.0000], [0.0000, 0.5000, 0.7514], [0.5000, 0.0000, 0.7514], [0.5000, 0.5000, 0.7514], [0.5000, 0.0000, 0.2486], [0.0000, 0.5000, 0.2486], [0.5000, 0.5000, 0.2486], [0.0000, 0.0000, 0.6748], [0.0000, 0.0000, 0.3252], [0.3333, 0.6667, 0.0000], [0.6667, 0.3333, 0.0000], [0.3333, 0.6667, 0.5000], [0.6667, 0.3333, 0.5000]],
  "spacegroup": "P6/mmm",
  "crystal_system": "hexagonal",
  "formation_enthalpy_0k_ev_per_atom": -0.257,
  "total_energy_ev_per_atom": -4.92
}

=====

{
  "formula": "VFeC2",
  "functional": "GGA-PBE",
  "state": "optimized geometry",
  "lattice_angstrom": [[-2.7740, -2.2889, -0.0476], [-3.2872, 1.1390, 0.9128], [-2.5539, 0.3215, -2.5121]],
  "species": ["C", "C", "Fe", "V"],
  "fractional_positions": [[0.2500, 0.2500, 0.2500], [0.7500, 0.7500, 0.7500], [0.5000, 0.5000, 0.5000], [0.0000, 0.0000, 0.0000]],
  "spacegroup": "Fm-3m",
  "crystal_system": "cubic",
  "formation_enthalpy_0k_ev_per_atom": 0.692,
  "total_energy_ev_per_atom": -8.32
}

=====

{
  "formula": "Pm2Sm6DyEr",
  "functional": "GGA-PBE",
  "state": "optimized geometry",
  "lattice_angstrom": [[9.2772, -2.0683, -2.1464], [0.7548, 8.6323, -2.0515], [0.7548, -2.3701, 8.5503]],
  "species": ["Pm", "Pm", "Pm", "Pm", "Sm", "Sm", "Sm", "Sm", "Sm", "Sm", "Sm", "Sm", "Sm", "Sm", "Sm", "Sm", "Dy", "Dy", "Er", "Er"],
  "fractional_positions": [[0.4574, 0.8034, 0.7010], [0.0426, 0.2990, 0.1966], [0.5426, 0.1966, 0.2990], [0.9574, 0.7010, 0.8034], [0.0555, 0.1237, 0.7528], [0.4445, 0.2472, 0.8763], [0.9445, 0.8763, 0.2472], [0.5555, 0.7528, 0.1237], [0.3116, 0.9832, 0.4273], [0.1884, 0.5727, 0.0168], [0.6884, 0.0168, 0.5727], [0.8116, 0.4273, 0.9832], [0.1196, 0.7090, 0.4979], [0.3804, 0.5021, 0.2910], [0.8804, 0.2910, 0.5021], [0.6196, 0.4979, 0.7090], [0.2500, 0.9791, 0.0209], [0.7500, 0.0209, 0.9791], [0.2500, 0.4085, 0.5915], [0.7500, 0.5915, 0.4085]],
  "spacegroup": "C2/c",
  "crystal_system": "monoclinic",
  "formation_enthalpy_0k_ev_per_atom": 0.116,
  "total_energy_ev_per_atom": -4.58
}

=====

{
  "formula": "Cu2SiMo",
  "functional": "GGA-PBE",
  "state": "optimized geometry",
  "lattice_angstrom": [[-2.2270, 1.8448, -4.0174], [-4.8750, -0.6327, -0.5797], [3.1285, 1.5345, 3.5157]],
  "species": ["Cu", "Cu", "Mo", "Si"],
  "fractional_positions": [[0.0000, 0.0000, 0.0000], [0.5000, 0.5000, 0.0000], [0.2500, 0.7500, 0.5000], [0.7500, 0.2500, 0.5000]],
  "spacegroup": "I4/mmm",
  "crystal_system": "tetragonal",
  "e_form_raw_mev_per_atom": 86,
  "total_energy_ev_per_atom": -6.03
}

=====

{
  "formula": "RbLiPuBr5",
  "functional": "GGA-PBE",
  "state": "optimized geometry",
  "lattice_angstrom": [[8.0409, -0.0208, -0.0858], [-2.3672, 7.6846, -0.0858], [-2.4557, -3.3171, 9.9761]],
  "species": ["Rb", "Rb", "Li", "Li", "Pu", "Pu", "Br", "Br", "Br", "Br", "Br", "Br", "Br", "Br", "Br", "Br"],
  "fractional_positions": [[0.3483, 0.6517, 0.2500], [0.6517, 0.3483, 0.7500], [0.6928, 0.3072, 0.2500], [0.3072, 0.6928, 0.7500], [0.0000, 0.0000, 0.5000], [0.0000, 0.0000, 0.0000], [0.0793, 0.9207, 0.2500], [0.9207, 0.0793, 0.7500], [0.9048, 0.3095, 0.1068], [0.0952, 0.6905, 0.8932], [0.6905, 0.0952, 0.3932], [0.3095, 0.9048, 0.6068], [0.7592, 0.6225, 0.4252], [0.2408, 0.3775, 0.5748], [0.3775, 0.2408, 0.0748], [0.6225, 0.7592, 0.9252]],
  "spacegroup": "C2/c",
  "crystal_system": "monoclinic",
  "e_form_raw_mev_per_atom": -1587,
  "total_energy_ev_per_atom": -4.78
}

=====

{
  "formula": "Ba3PuPa2O9",
  "functional": "GGA-PBE",
  "state": "optimized geometry",
  "lattice_angstrom": [[-4.9081, 0.9539, -3.9183], [-0.9337, -2.7518, 5.6488], [-1.2015, 6.9899, 3.2065]],
  "species": ["Ba", "Ba", "Ba", "Pu", "Pa", "Pa", "O", "O", "O", "O", "O", "O", "O", "O", "O"],
  "fractional_positions": [[0.3333, 0.6667, 0.6521], [0.0000, 0.0000, 0.0000], [0.6667, 0.3333, 0.3479], [0.0000, 0.0000, 0.5000], [0.3333, 0.6667, 0.1663], [0.6667, 0.3333, 0.8337], [0.8283, 0.1717, 0.6711], [0.8283, 0.6566, 0.6711], [0.3434, 0.1717, 0.6711], [0.6566, 0.8283, 0.3289], [0.1717, 0.3434, 0.3289], [0.1717, 0.8283, 0.3289], [0.5000, 0.0000, 0.0000], [0.0000, 0.5000, 0.0000], [0.5000, 0.5000, 0.0000]],
  "spacegroup": "P-3m1",
  "crystal_system": "trigonal",
  "e_form_raw_mev_per_atom": -3142,
  "total_energy_ev_per_atom": -8.72
}

=====

{
  "formula": "Mg4AgRh",
  "functional": "GGA-PBE",
  "state": "optimized geometry",
  "lattice_angstrom": [[0.0000, 3.8440, 3.8440], [3.8440, 0.0000, 3.8440], [3.8440, 3.8440, 0.0000]],
  "species": ["Mg", "Mg", "Mg", "Mg", "Ag", "Rh"],
  "fractional_positions": [[0.8741, 0.3753, 0.3753], [0.3753, 0.3753, 0.8741], [0.3753, 0.8741, 0.3753], [0.3753, 0.3753, 0.3753], [0.0000, 0.0000, 0.0000], [0.7500, 0.7500, 0.7500]],
  "spacegroup": "F-43m",
  "e_above_lowest_polymorph_mev_per_atom": 454,
  "crystal_system": "cubic",
  "formation_enthalpy_0k_ev_per_atom": 0.159,
  "total_energy_ev_per_atom": -2.60
}

=====

{
  "formula": "Ba3Ac3Si4",
  "functional": "GGA-PBE",
  "state": "optimized geometry",
  "lattice_angstrom": [[-0.6278, -4.6482, -0.9394], [8.2944, -1.0788, -0.2055], [-0.3252, -1.6139, 8.2032]],
  "species": ["Ba", "Ba", "Ba", "Ac", "Ac", "Ac", "Si", "Si", "Si", "Si"],
  "fractional_positions": [[0.0000, 0.4868, 0.9877], [0.0000, 0.0123, 0.5132], [0.5000, 0.1675, 0.8325], [0.5000, 0.8242, 0.1758], [0.5000, 0.3314, 0.3229], [0.5000, 0.6771, 0.6686], [0.0000, 0.6143, 0.3857], [0.0000, 0.4127, 0.5873], [0.0000, 0.8808, 0.9071], [0.0000, 0.0929, 0.1192]],
  "spacegroup": "Amm2",
  "crystal_system": "orthorhombic",
  "e_form_raw_mev_per_atom": -391,
  "total_energy_ev_per_atom": -4.37
}